Record 1
VASP calculation (GGA-PBE) on a geometry-optimized Na2Ge6Rh9 structure. Values from VASP.

```
&SYSTEM
  ibrav = 0, nat = 17, ntyp = 3
/
ATOMIC_SPECIES
Na 22.99 Na.upf
Ge 72.64 Ge.upf
Rh 102.91 Rh.upf
ATOMIC_POSITIONS crystal
Na 0.0000 0.0000 0.1855
Na 0.0000 0.0000 0.8145
Ge 0.3333 0.6667 0.1663
Ge 0.3333 0.6667 0.5000
Ge 0.3333 0.6667 0.8337
Ge 0.6667 0.3333 0.1663
Ge 0.6667 0.3333 0.5000
Ge 0.6667 0.3333 0.8337
Rh 0.0000 0.5000 0.0000
Rh 0.0000 0.5000 0.3328
Rh 0.0000 0.5000 0.6672
Rh 0.5000 0.0000 0.0000
Rh 0.5000 0.0000 0.3328
Rh 0.5000 0.0000 0.6672
Rh 0.5000 0.5000 0.0000
Rh 0.5000 0.5000 0.3328
Rh 0.5000 0.5000 0.6672
CELL_PARAMETERS angstrom
5.6742 0.0000 0.0000
-2.8371 4.9140 0.0000
0.0000 0.0000 11.1858
```

Results
Crystal system: hexagonal
ΔH_f (0 K), meV per atom: -270

=====

Record 2
VASP calculation (GGA-PBE) on a geometry-optimized Cs2HgF3 structure. Values from VASP.

```
&SYSTEM
  ibrav = 0, nat = 6, ntyp = 3
/
ATOMIC_SPECIES
Cs 132.91 Cs.upf
Hg 200.59 Hg.upf
F 19.00 F.upf
ATOMIC_POSITIONS crystal
Cs 0.1558 0.1558 0.0000
Cs 0.8442 0.8442 0.0000
Hg 0.5000 0.5000 0.0000
F 0.0000 0.5000 0.5000
F 0.3366 0.3366 0.0000
F 0.6634 0.6634 0.0000
CELL_PARAMETERS angstrom
-2.0547 2.3455 8.2227
2.0547 -2.3455 8.2227
2.0547 2.3455 -8.2227
```

Results
Crystal system: orthorhombic
Uncorrected formation energy, eV per atom: -2.048

=====

Record 3
VASP calculation (GGA-PBE) on a geometry-optimized Tc2HgSe structure. Values from VASP.

```
&SYSTEM
  ibrav = 0, nat = 4, ntyp = 3
/
ATOMIC_SPECIES
Tc 98.00 Tc.upf
Hg 200.59 Hg.upf
Se 78.96 Se.upf
ATOMIC_POSITIONS crystal
Tc 0.0000 0.5000 0.0000
Tc 0.5000 0.0000 0.0000
Hg 0.0000 0.0000 0.5000
Se 0.5000 0.5000 0.5000
CELL_PARAMETERS angstrom
4.5311 0.0000 0.0000
0.0000 4.5311 0.0000
0.0000 0.0000 3.1922
```

Results
Crystal system: tetragonal
Energy above the most stable polymorph in this dataset, meV per atom: 492
Uncorrected formation energy, eV per atom: 0.655

=====

Record 4
VASP calculation (GGA-PBE) on a geometry-optimized Tm8BiAu2 structure. Values from VASP.

```
&SYSTEM
  ibrav = 0, nat = 11, ntyp = 3
/
ATOMIC_SPECIES
Tm 168.93 Tm.upf
Bi 208.98 Bi.upf
Au 196.97 Au.upf
ATOMIC_POSITIONS crystal
Tm 0.0351 0.0351 0.2470
Tm 0.2034 0.2034 0.8291
Tm 0.3272 0.3272 0.5353
Tm 0.4081 0.4081 0.0388
Tm 0.5919 0.5919 0.9612
Tm 0.6728 0.6728 0.4647
Tm 0.7966 0.7966 0.1709
Tm 0.9649 0.9649 0.7530
Bi 0.5000 0.5000 0.5000
Au 0.1935 0.1935 0.2211
Au 0.8065 0.8065 0.7789
CELL_PARAMETERS angstrom
8.9217 -2.4852 0.0000
8.9217 2.4852 0.0000
-1.7757 0.0000 6.8949
```

Results
Crystal system: monoclinic
ΔH_f (0 K), meV per atom: -440